First-principles (PBE+U) data for an optimized crystal structure of HoMnBO4, as listed in Alexandria via LeMat-Bulk.

```
14
Lattice="-2.887 2.991 4.034 2.887 -2.991 4.034 2.887 2.991 -4.034" Properties=species:S:1:pos:R:3 pbc="T T T"
Ho 0.000 0.000 0.000
Ho 0.000 2.991 0.000
Mn -1.443 1.496 2.017
Mn 1.443 1.496 2.017
B 2.887 1.496 -0.903
B 0.000 1.496 4.936
O 2.887 -0.200 1.810
O 2.887 2.791 -1.810
O 1.653 1.496 -0.052
O 4.120 1.496 -0.052
O -1.234 1.496 4.086
O 1.234 1.496 4.086
O 0.000 0.200 5.844
O 0.000 3.191 2.224
```

Output
energy	-104.30	eV per cell
space-group type	Imma, No. 74